No. 1
First-principles (GGA-PBE) data for a relaxed Pr2YGa crystal, as listed in the Alexandria database.

Calculated values
Final energy in eV/f.u.: -19.60

Cell and atoms, written as extended XYZ:
```
4
Lattice="-0.656 -1.053 3.539 2.136 -2.636 1.599 7.098 6.208 5.150" Properties=species:S:1:pos:R:3 pbc="T T T"
Pr 5.682 4.613 4.413
Pr 1.908 0.363 2.449
Ga 0.992 -2.453 3.428
Y 4.285 1.256 5.142
```


No. 2
First-principles (GGA-PBE) data for a relaxed CsCNF2 crystal, as listed in the Alexandria database.

Calculated values
Formation energy without anion corrections in meV/atom: 2009

Cell and atoms, written as extended XYZ:
```
5
Lattice="-0.955 2.210 4.330 -4.852 -0.698 -0.714 0.262 -3.932 2.064" Properties=species:S:1:pos:R:3 pbc="T T T"
N 0.131 -1.966 1.032
F -0.477 1.105 2.165
F -2.426 -0.349 -0.357
Cs 0.000 0.000 0.000
C -2.773 -1.210 2.840
```


No. 3
First-principles (GGA-PBE) data for a relaxed Li8SbPd3 crystal, as listed in the Alexandria database.

Calculated values
Formation energy without anion corrections in meV/atom: -405

Cell and atoms, written as extended XYZ:
```
12
Lattice="8.064 0.000 0.278 -4.784 4.471 2.410 -1.504 0.000 5.097" Properties=species:S:1:pos:R:3 pbc="T T T"
Pd -0.603 2.293 3.213
Pd 2.677 2.179 5.901
Pd 2.990 0.000 2.092
Li 2.094 2.222 3.293
Li 0.021 2.156 5.795
Li 0.338 0.000 2.103
Li 4.805 2.315 3.385
Li -2.690 2.250 5.703
Li 5.584 0.000 1.995
Li 3.756 0.000 4.545
Li 1.272 0.000 4.605
Sb 6.539 0.000 4.636
```


No. 4
First-principles (GGA-PBE) data for a relaxed ZnBiSb2 crystal, as listed in the Alexandria database.

Calculated values
Formation energy without anion corrections in meV/atom: 99

Cell and atoms, written as extended XYZ:
```
8
Lattice="6.520 0.000 0.000 0.000 6.520 0.000 3.260 3.260 6.636" Properties=species:S:1:pos:R:3 pbc="T T T"
Sb 1.964 4.890 1.659
Sb 8.150 7.816 4.977
Sb 4.556 1.630 1.659
Sb 4.890 5.225 4.977
Zn 3.260 3.260 0.000
Zn 3.260 6.520 3.318
Bi 0.000 0.000 0.000
Bi 6.520 3.260 3.318
```


No. 5
First-principles (GGA-PBE) data for a relaxed CePuOsRu crystal, as listed in the Alexandria database.

Calculated values
Final energy in eV/f.u.: -41.20

Cell and atoms, written as extended XYZ:
```
4
Lattice="4.839 0.000 0.000 2.420 4.191 0.000 2.420 1.397 3.951" Properties=species:S:1:pos:R:3 pbc="T T T"
Ru 7.259 4.191 2.963
Os 2.420 1.397 0.988
Ce 0.000 0.000 0.000
Pu 4.839 2.794 1.976
```


No. 6
First-principles (GGA-PBE) data for a relaxed BiSbPt2 crystal, as listed in the Alexandria database.

Calculated values
Formation energy without anion corrections in meV/atom: -349

Cell and atoms, written as extended XYZ:
```
4
Lattice="-3.031 -1.613 -2.618 4.005 -1.609 -0.085 -1.411 -3.720 3.924" Properties=species:S:1:pos:R:3 pbc="T T T"
Pt -1.046 -2.562 -0.772
Pt -1.736 -4.381 1.148
Bi 0.000 0.000 0.000
Sb 0.955 -3.470 1.032
```


No. 7
First-principles (GGA-PBE) data for a relaxed In2GeF crystal, as listed in the Alexandria database.

Calculated values
Formation energy without anion corrections in meV/atom: -606

Cell and atoms, written as extended XYZ:
```
4
Lattice="3.527 -3.063 -1.163 -0.846 -4.739 -0.046 -0.158 -2.376 -4.184" Properties=species:S:1:pos:R:3 pbc="T T T"
Ge 1.261 -5.089 -2.696
F 0.000 0.000 0.000
In 0.631 -2.545 -1.348
In 1.892 -7.634 -4.044
```


No. 8
First-principles (GGA-PBE) data for a relaxed Nb2AsH crystal, as listed in the Alexandria database.

Calculated values
Final energy in eV/f.u.: -27.29

Cell and atoms, written as extended XYZ:
```
4
Lattice="4.187 0.000 0.000 2.093 3.626 0.000 2.093 1.209 5.428" Properties=species:S:1:pos:R:3 pbc="T T T"
H 0.000 0.000 0.000
Nb 6.280 3.626 1.866
Nb 2.093 1.209 3.562
As 4.187 2.417 2.714
```


No. 9
First-principles (GGA-PBE) data for a relaxed U2PbSe6 crystal, as listed in the Alexandria database.

Calculated values
Formation energy without anion corrections in meV/atom: -589

Cell and atoms, written as extended XYZ:
```
9
Lattice="5.191 0.000 0.000 0.000 5.191 0.000 -2.595 -2.595 10.955" Properties=species:S:1:pos:R:3 pbc="T T T"
Se 0.000 2.595 5.477
Se 1.343 1.343 8.732
Se 1.252 3.938 2.223
Se 2.595 0.000 5.477
Se 3.938 1.252 2.223
Se -1.343 -1.343 8.732
U 2.595 2.595 6.856
U 0.000 0.000 4.099
Pb 2.595 2.595 0.000
```


No. 10
First-principles (GGA-PBE) data for a relaxed PrY2Ag3 crystal, as listed in the Alexandria database.

Calculated values
Final energy in eV/f.u.: -28.09

Cell and atoms, written as extended XYZ:
```
6
Lattice="3.662 0.000 0.000 0.000 3.662 0.000 0.000 0.000 11.231" Properties=species:S:1:pos:R:3 pbc="T T T"
Pr 1.831 1.831 5.616
Ag 0.000 0.000 0.000
Ag 0.000 0.000 7.660
Ag 0.000 0.000 3.571
Y 1.831 1.831 9.412
Y 1.831 1.831 1.819
```


No. 11
First-principles (GGA-PBE) data for a relaxed TeP2S2 crystal, as listed in the Alexandria database.

Calculated values
Formation energy without anion corrections in meV/atom: 1461

Cell and atoms, written as extended XYZ:
```
5
Lattice="-2.111 4.554 -1.372 -4.140 -1.020 2.983 2.187 2.149 3.770" Properties=species:S:1:pos:R:3 pbc="T T T"
P -1.055 2.277 -0.686
P -2.070 -0.510 1.491
Te 0.000 0.000 0.000
S -2.032 2.841 2.691
S 1.093 1.075 1.885
```


No. 12
First-principles (GGA-PBE) data for a relaxed PrAl2Ni6 crystal, as listed in the Alexandria database.

Calculated values
Final energy in eV/f.u.: -48.37

Cell and atoms, written as extended XYZ:
```
9
Lattice="-3.095 -2.265 -1.175 -1.245 -4.307 4.734 -4.917 1.010 4.161" Properties=species:S:1:pos:R:3 pbc="T T T"
Al -1.960 -1.271 0.766
Al -7.297 -4.290 6.954
Ni -4.812 -4.054 6.799
Ni -6.170 -2.088 6.587
Ni -4.267 0.069 4.262
Ni -1.894 -3.366 4.632
Ni -4.445 -1.507 0.921
Ni -3.086 -3.474 1.133
Pr -4.628 -2.781 3.860
```


No. 13
First-principles (GGA-PBE) data for a relaxed Li2Bi2Rh crystal, as listed in the Alexandria database.

Calculated values
Final energy in eV/f.u.: -20.07

Cell and atoms, written as extended XYZ:
```
10
Lattice="-2.067 -0.363 6.744 4.638 -5.202 1.141 3.157 3.063 1.132" Properties=species:S:1:pos:R:3 pbc="T T T"
Li 4.105 -3.074 5.980
Li 1.623 0.572 3.037
Li 4.311 -1.965 2.405
Li 1.417 -0.538 6.612
Rh 0.000 0.000 0.000
Rh 1.286 -2.783 3.942
Bi 1.270 -3.699 6.464
Bi 3.215 -4.539 3.316
Bi 1.301 -1.867 1.421
Bi -0.643 -1.026 4.569
```


No. 14
First-principles (GGA-PBE) data for a relaxed TeP crystal, as listed in the Alexandria database.

Calculated values
Formation energy without anion corrections in meV/atom: 410

Cell and atoms, written as extended XYZ:
```
4
Lattice="-2.193 -2.102 -2.382 2.014 -1.731 2.801 -5.629 0.756 4.515" Properties=species:S:1:pos:R:3 pbc="T T T"
P 0.000 0.000 0.000
P -2.814 0.378 2.258
Te -0.795 -1.666 2.202
Te -5.012 -1.411 2.732
```


No. 15
First-principles (GGA-PBE) data for a relaxed Cu2Re crystal, as listed in the Alexandria database.

Calculated values
Final energy in eV/f.u.: -19.00

Cell and atoms, written as extended XYZ:
```
9
Lattice="3.739 -6.475 0.000 3.739 6.475 0.000 0.000 0.000 2.499" Properties=species:S:1:pos:R:3 pbc="T T T"
Cu 5.185 0.000 0.000
Cu 2.728 0.000 1.249
Cu 1.146 1.985 0.000
Cu 1.146 -1.985 0.000
Cu 2.375 -4.113 1.249
Cu 2.375 4.113 1.249
Re 3.739 -2.158 0.000
Re 3.739 2.158 0.000
Re 0.000 0.000 1.249
```


No. 16
First-principles (GGA-PBE) data for a relaxed Hf3Ti2Ga4 crystal, as listed in the Alexandria database.

Calculated values
Final energy in eV/f.u.: -61.23

Cell and atoms, written as extended XYZ:
```
9
Lattice="-2.192 3.590 1.053 -1.980 -2.439 -4.734 -1.937 -3.377 7.484" Properties=species:S:1:pos:R:3 pbc="T T T"
Hf 0.000 0.000 0.000
Hf -3.361 -0.698 4.313
Hf -2.748 -1.528 -0.510
Ti -2.581 0.553 1.670
Ti -3.527 -2.779 2.133
Ga -1.154 -1.422 2.447
Ga -3.750 -3.645 4.622
Ga -2.358 1.419 -0.820
Ga -4.954 -0.803 1.356
```


No. 17
First-principles (GGA-PBE) data for a relaxed NaSrBe2 crystal, as listed in the Alexandria database.

Calculated values
Final energy in eV/f.u.: -7.66

Cell and atoms, written as extended XYZ:
```
8
Lattice="4.540 0.000 0.000 0.000 4.540 0.000 2.270 2.270 9.650" Properties=species:S:1:pos:R:3 pbc="T T T"
Na 2.270 2.270 0.000
Na 2.270 4.540 4.825
Be 2.269 3.405 2.413
Be 2.271 1.135 2.413
Be 3.405 4.539 7.238
Be 5.675 4.541 7.238
Sr 4.540 2.270 4.825
Sr 0.000 0.000 0.000
```


No. 18
First-principles (GGA-PBE) data for a relaxed Tm12InSi5 crystal, as listed in the Alexandria database.

Calculated values
Formation energy without anion corrections in meV/atom: -561

Cell and atoms, written as extended XYZ:
```
18
Lattice="7.755 -0.131 -3.026 -4.086 6.880 -2.298 -0.067 0.131 8.324" Properties=species:S:1:pos:R:3 pbc="T T T"
Tm -2.674 5.661 0.094
Tm -0.252 2.975 0.365
Tm -2.456 6.696 3.563
Tm 6.058 0.184 -0.563
Tm -0.539 4.764 5.667
Tm 0.951 2.248 3.505
Tm 6.276 1.219 2.907
Tm 4.141 2.116 -2.667
Tm 0.864 5.661 2.532
Tm 3.854 3.905 2.635
Tm 2.651 4.633 -0.504
Tm 2.738 1.219 0.469
In -2.077 3.506 3.013
Si 3.357 0.822 3.356
Si 2.313 4.255 -3.357
Si 0.000 0.000 0.000
Si 0.245 6.058 -0.355
Si 1.356 2.494 -1.967
```


No. 19
First-principles (GGA-PBE) data for a relaxed VCr2Ga2 crystal, as listed in the Alexandria database.

Calculated values
Final energy in eV/f.u.: -34.76

Cell and atoms, written as extended XYZ:
```
5
Lattice="-2.950 -0.810 0.454 -0.591 -4.673 -1.649 1.912 -5.703 2.253" Properties=species:S:1:pos:R:3 pbc="T T T"
Ga 0.216 -6.467 0.395
Ga -1.845 -4.718 0.662
Cr -0.956 -2.311 0.196
Cr -0.673 -8.874 0.862
V 0.000 0.000 0.000
```


No. 20
First-principles (GGA-PBE) data for a relaxed Na5Ge4 crystal, as listed in the Alexandria database.

Calculated values
Final energy in eV/f.u.: -25.57

Cell and atoms, written as extended XYZ:
```
9
Lattice="4.842 0.000 0.000 2.421 5.146 -0.313 2.421 1.106 9.164" Properties=species:S:1:pos:R:3 pbc="T T T"
Na 2.421 1.801 1.423
Na 7.263 4.450 7.428
Na 7.263 4.599 3.426
Na 0.000 0.000 0.000
Na 2.421 1.653 5.426
Ge 4.842 2.465 7.523
Ge 4.842 2.444 3.318
Ge 4.842 3.787 1.328
Ge 4.842 3.807 5.534
```


No. 21
First-principles (GGA-PBE) data for a relaxed CaMn3Cd crystal, as listed in the Alexandria database.

Calculated values
Final energy in eV/f.u.: -22.19

Cell and atoms, written as extended XYZ:
```
5
Lattice="-4.072 -2.744 0.039 2.700 -4.019 -0.816 0.488 -0.656 4.842" Properties=species:S:1:pos:R:3 pbc="T T T"
Mn 0.244 -0.328 2.421
Mn -2.036 -1.372 0.019
Mn 1.350 -2.009 -0.408
Cd -0.442 -3.709 2.032
Ca 0.000 0.000 0.000
```


No. 22
First-principles (GGA-PBE) data for a relaxed Tm2MgTe crystal, as listed in the Alexandria database.

Calculated values
Formation energy without anion corrections in meV/atom: -150

Cell and atoms, written as extended XYZ:
```
4
Lattice="3.798 0.000 0.000 1.899 3.290 0.000 1.899 1.097 10.571" Properties=species:S:1:pos:R:3 pbc="T T T"
Mg 0.000 0.000 0.000
Tm 5.698 3.290 3.232
Tm 1.899 1.097 7.339
Te 3.798 2.193 5.285
```


No. 23
First-principles (GGA-PBE) data for a relaxed CdSbOs2 crystal, as listed in the Alexandria database.

Calculated values
Formation energy without anion corrections in meV/atom: 847

Cell and atoms, written as extended XYZ:
```
4
Lattice="-0.743 -1.972 4.654 1.567 -4.854 0.289 2.188 4.299 -1.681" Properties=species:S:1:pos:R:3 pbc="T T T"
Os 0.000 0.000 0.000
Os 2.084 -1.984 0.540
Cd 0.929 -0.543 2.722
Sb 0.412 -3.413 2.471
```


No. 24
First-principles (GGA-PBE) data for a relaxed SrPF crystal, as listed in the Alexandria database.

Calculated values
Formation energy without anion corrections in meV/atom: -2333

Cell and atoms, written as extended XYZ:
```
12
Lattice="5.786 0.000 -0.016 0.000 14.058 0.000 -3.066 0.000 2.902" Properties=species:S:1:pos:R:3 pbc="T T T"
P 3.573 7.594 0.713
P 0.680 13.493 0.721
P -0.853 6.464 2.172
P 2.040 0.565 2.164
F -0.853 10.457 2.172
F 0.680 3.428 0.721
F 2.040 10.630 2.164
F 3.573 3.601 0.713
Sr 0.680 9.106 0.721
Sr 3.573 11.981 0.713
Sr 2.040 4.952 2.164
Sr -0.853 2.077 2.172
```


No. 25
First-principles (GGA-PBE) data for a relaxed LiCaTbGe crystal, as listed in the Alexandria database.

Calculated values
Final energy in eV/f.u.: -14.66

Cell and atoms, written as extended XYZ:
```
4
Lattice="5.104 0.000 0.000 2.552 4.420 0.000 2.552 1.473 4.168" Properties=species:S:1:pos:R:3 pbc="T T T"
Ge 7.656 4.420 3.126
Li 2.552 1.473 1.042
Tb 0.000 0.000 0.000
Ca 5.104 2.947 2.084
```


No. 26
First-principles (GGA-PBE) data for a relaxed BaSiO4 crystal, as listed in the Alexandria database.

Calculated values
Formation energy without anion corrections in meV/atom: -1796

Cell and atoms, written as extended XYZ:
```
6
Lattice="4.029 -0.268 -0.091 1.779 3.653 -0.098 1.797 1.038 5.729" Properties=species:S:1:pos:R:3 pbc="T T T"
Ba 3.802 2.212 2.770
Si 0.000 0.000 0.000
O 1.760 1.016 4.078
O 5.845 3.407 1.462
O 3.306 1.919 5.673
O 4.298 2.504 -0.133
```